This record from the Alexandria database describes a relaxed La2HoNpO8 crystal. The functional is PBE.

a b c (Å): 3.993 5.623 7.583
angles (deg): 90.00 90.00 94.88
Element x y z (fractional)
O  0.963  0.224  0.221
O  0.439  0.213  0.000
O  0.037  0.776  0.221
O  0.561  0.787  0.000
O  0.963  0.224  0.779
Ho  0.000  0.000  0.500
O  0.516  0.756  0.500
Np  0.000  0.000  0.000
O  0.037  0.776  0.779
La  0.500  0.500  0.257
O  0.484  0.244  0.500
La  0.500  0.500  0.743

Results
ΔE_f (raw): -38.06 eV per formula unit